(1)
# AcH6Pt3 | Alexandria | PBE | optimized geometry
data_AcH6Pt3
_cell_length_a 4.9615
_cell_length_b 4.9726
_cell_length_c 5.8469
_cell_angle_alpha 90.49
_cell_angle_beta 115.04
_cell_angle_gamma 119.44
_symmetry_space_group_name_H-M 'P -1'
_symmetry_Int_Tables_number 2
loop_
_symmetry_equiv_pos_as_xyz
'x,y,z'
'-x,-y,-z'
loop_
_atom_site_label
_atom_site_fract_x
_atom_site_fract_y
_atom_site_fract_z
Ac1 0.0000 0.0000 0.0000
H1 0.1243 0.5620 0.2395
H2 0.3218 0.8831 0.7602
H3 0.3260 0.4395 0.7649
Pt1 0.0000 0.5000 0.5000
Pt2 0.4289 0.2128 0.6433
# * crystal system: triclinic
# * total energy: -45.81 eV per cell



(2)
# AcH4Pt | Alexandria | PBE | optimized geometry
data_AcH4Pt
_cell_length_a 4.6238
_cell_length_b 4.6238
_cell_length_c 7.0475
_cell_angle_alpha 90.00
_cell_angle_beta 90.00
_cell_angle_gamma 90.00
_symmetry_space_group_name_H-M 'P 42/n m c'
_symmetry_Int_Tables_number 137
loop_
_symmetry_equiv_pos_as_xyz
'x,y,z'
'-x,-y,-z'
'-y+1/2,x,z+1/2'
'y+1/2,-x,-z+1/2'
'-x+1/2,-y+1/2,z'
'x+1/2,y+1/2,-z'
'y,-x+1/2,z+1/2'
'-y,x+1/2,-z+1/2'
'x+1/2,-y,-z'
'-x+1/2,y,z'
'-y,-x,-z+1/2'
'y,x,z+1/2'
'-x,y+1/2,-z'
'x,-y+1/2,z'
'y+1/2,x+1/2,-z+1/2'
'-y+1/2,-x+1/2,z+1/2'
loop_
_atom_site_label
_atom_site_fract_x
_atom_site_fract_y
_atom_site_fract_z
Ac1 0.2500 0.7500 0.2500
H1 0.0170 0.2500 0.0853
Pt1 0.2500 0.7500 0.7500
# * crystal system: tetragonal
# * total energy: -52.04 eV per cell



(3)
# Ac6HPt5 | Alexandria | PBE | optimized geometry
data_Ac6HPt5
_cell_length_a 7.5644
_cell_length_b 13.0905
_cell_length_c 7.5574
_cell_angle_alpha 90.00
_cell_angle_beta 109.35
_cell_angle_gamma 90.00
_symmetry_space_group_name_H-M 'C 1 2/m 1'
_symmetry_Int_Tables_number 12
loop_
_symmetry_equiv_pos_as_xyz
'x,y,z'
'-x,-y,-z'
'-x,y,-z'
'x,-y,z'
'x+1/2,y+1/2,z'
'-x+1/2,-y+1/2,-z'
'-x+1/2,y+1/2,-z'
'x+1/2,-y+1/2,z'
loop_
_atom_site_label
_atom_site_fract_x
_atom_site_fract_y
_atom_site_fract_z
Ac1 0.2472 0.0000 0.2488
Ac2 0.2475 0.1681 0.7472
H1 0.0000 0.5000 0.0000
Pt1 0.0000 0.0000 0.5000
Pt2 0.0000 0.1670 0.0000
Pt3 0.0000 0.3354 0.5000
# * crystal system: monoclinic
# * total energy: -141.60 eV per cell



Repeat the third record exactly.
# Ac6HPt5 | Alexandria | PBE | optimized geometry
data_Ac6HPt5
_cell_length_a 7.5644
_cell_length_b 13.0905
_cell_length_c 7.5574
_cell_angle_alpha 90.00
_cell_angle_beta 109.35
_cell_angle_gamma 90.00
_symmetry_space_group_name_H-M 'C 1 2/m 1'
_symmetry_Int_Tables_number 12
loop_
_symmetry_equiv_pos_as_xyz
'x,y,z'
'-x,-y,-z'
'-x,y,-z'
'x,-y,z'
'x+1/2,y+1/2,z'
'-x+1/2,-y+1/2,-z'
'-x+1/2,y+1/2,-z'
'x+1/2,-y+1/2,z'
loop_
_atom_site_label
_atom_site_fract_x
_atom_site_fract_y
_atom_site_fract_z
Ac1 0.2472 0.0000 0.2488
Ac2 0.2475 0.1681 0.7472
H1 0.0000 0.5000 0.0000
Pt1 0.0000 0.0000 0.5000
Pt2 0.0000 0.1670 0.0000
Pt3 0.0000 0.3354 0.5000
# * crystal system: monoclinic
# * total energy: -141.60 eV per cell



Q: Which value of total energy does entry 3 give?
A: -141.60 eV per cell



Q: total energy of number 3 (Ac6HPt5)?
A: -141.60 eV per cell



Q: Among the records above, which one has the highest total energy?
A: AcH6Pt3